[1]
Material: Ag3TeAu3
Method: DFT, PBE
State: relaxed

```
data_Ag3TeAu3
_chemical_formula_sum 'Ag6 Te2 Au6'
_symmetry_space_group_name_H-M 'P m -3 n'
_symmetry_Int_Tables_number 223
_symmetry_space_group_name_Hall '-P 4n 2 3'
_cell_length_a 7.4570
_cell_length_b 7.4570
_cell_length_c 7.4570
_cell_angle_alpha 90.00
_cell_angle_beta 90.00
_cell_angle_gamma 90.00
loop_
_atom_site_label
_atom_site_type_symbol
_atom_site_fract_x
_atom_site_fract_y
_atom_site_fract_z
Ag1 Ag 0.0000 0.2500 0.5000
Te1 Te 0.0000 0.0000 0.0000
Au1 Au 0.0000 0.5000 0.2500
```

Summary:
raw formation energy	0.710	eV/atom
total moment	0.02	μB per cell

***

[2]
Material: AgTeAu2
Method: DFT, PBE
State: relaxed

```
data_AgTeAu2
_chemical_formula_sum 'Ag2 Te2 Au4'
_symmetry_space_group_name_H-M 'C 1 2/m 1'
_symmetry_Int_Tables_number 12
_cell_length_a 9.0491
_cell_length_b 3.0302
_cell_length_c 6.2684
_cell_angle_alpha 90.00
_cell_angle_beta 97.47
_cell_angle_gamma 90.00
loop_
_symmetry_equiv_pos_as_xyz
'x,y,z'
'-x,-y,-z'
'-x,y,-z'
'x,-y,z'
'x+1/2,y+1/2,z'
'-x+1/2,-y+1/2,-z'
'-x+1/2,y+1/2,-z'
'x+1/2,-y+1/2,z'
loop_
_atom_site_label
_atom_site_type_symbol
_atom_site_fract_x
_atom_site_fract_y
_atom_site_fract_z
Ag1 Ag 0.0000 0.0000 0.0000
Te1 Te 0.0000 0.5000 0.5000
Au1 Au 0.2411 0.5000 0.2135
```

Summary:
raw formation energy	0.113	eV/atom
total moment	0.00	μB per cell

***

[3]
Material: Ag2Te2Au
Method: DFT, PBE
State: relaxed

```
data_Ag2Te2Au
_chemical_formula_sum 'Ag4 Te4 Au2'
_symmetry_space_group_name_H-M 'P 4/m b m'
_symmetry_Int_Tables_number 127
_symmetry_space_group_name_Hall '-P 4 2ab'
_cell_length_a 7.5086
_cell_length_b 7.5086
_cell_length_c 4.0949
_cell_angle_alpha 90.00
_cell_angle_beta 90.00
_cell_angle_gamma 90.00
loop_
_atom_site_label
_atom_site_type_symbol
_atom_site_fract_x
_atom_site_fract_y
_atom_site_fract_z
Ag1 Ag 0.1357 0.3643 0.0000
Te1 Te 0.1700 0.6700 0.5000
Au1 Au 0.0000 0.0000 0.0000
```

Summary:
energy above the most stable polymorph in this dataset	219.1	meV per atom
raw formation energy	0.215	eV/atom
total moment	0.00	μB per cell